DFT (SCAN) results for LiSb at its PBEsol-relaxed geometry.

Summary:
DFT total energy (eV/f.u.): -40.186
Formation energy from raw total energies (eV per atom): -0.27
Calculated density (g/cm3): 4.68

Cell and atoms, written as CIF:
```
data_LiSb
_chemical_formula_sum 'Li3 Sb3'
_space_group_name_H-M_alt 'P 1'
_space_group_IT_number 1
_cell_length_a 6.0026
_cell_length_b 6.0026
_cell_length_c 8.4201
_cell_angle_alpha 113.43
_cell_angle_beta 113.43
_cell_angle_gamma 29.70
loop_
_space_group_symop_operation_xyz
'x,y,z'
loop_
_atom_site_label
_atom_site_type_symbol
_atom_site_fract_x
_atom_site_fract_y
_atom_site_fract_z
Li1 Li 0.0000 0.0000 0.0000
Li2 Li 0.2838 0.2838 0.0313
Li3 Li 0.5734 0.5734 0.6575
Sb1 Sb 0.3152 0.3152 0.7194
Sb2 Sb 0.6993 0.6993 0.2616
Sb3 Sb 0.9618 0.9618 0.3294
```